Material: CuTe2Pb
Method: DFT, PBE
State: optimized geometry

a = 3.6684 Å, b = 3.6684 Å, c = 8.9994 Å
α = 90.00°, β = 90.00°, γ = 115.51°
Fractional coordinates of all 4 atoms:
Cu 0.0000 0.0000 0.0000
Te 0.5000 0.5000 0.1947
Te 0.5000 0.5000 0.8053
Pb 0.0000 0.0000 0.5000

Symmetry   Cmmm
Final energy   -3.4018 eV per atom
Magnetic moment   0.00 Bohr magnetons per cell
Volume   109 Å³/cell



Material: LiAc2Rh
Method: DFT, PBE
State: optimized geometry

a = 9.2094 Å, b = 9.2094 Å, c = 9.2094 Å
α = 27.00°, β = 27.00°, γ = 27.00°
Fractional coordinates of all 4 atoms:
Li 0.0000 0.0000 0.0000
Ac 0.5598 0.5598 0.5598
Ac 0.7709 0.7709 0.7709
Rh 0.1647 0.1647 0.1647

Symmetry   R3m
Final energy   -4.7187 eV per atom
Magnetic moment   0.00 Bohr magnetons per cell
Volume   142 Å³/cell



Material: GaCo3I
Method: DFT, PBE
State: optimized geometry

a = 4.4593 Å, b = 4.4593 Å, c = 4.4593 Å
α = 90.00°, β = 90.00°, γ = 90.00°
Fractional coordinates of all 5 atoms:
Ga 0.0000 0.0000 0.0000
Co 0.0000 0.0000 0.5000
Co 0.0000 0.5000 0.0000
Co 0.5000 0.0000 0.0000
I 0.5000 0.5000 0.5000

Symmetry   Pm-3m
Final energy   -4.1381 eV per atom
Magnetic moment   3.20 Bohr magnetons per cell
Volume   89 Å³/cell
ΔE to the lowest computed polymorph   0 meV per atom



Material: NdPa2Os9
Method: DFT, PBE
State: optimized geometry

a = 9.4183 Å, b = 9.4183 Å, c = 9.4183 Å
α = 32.64°, β = 32.64°, γ = 32.64°
Fractional coordinates of all 12 atoms:
Nd 0.0000 0.0000 0.0000
Pa 0.1396 0.1396 0.1396
Pa 0.8604 0.8604 0.8604
Os 0.0765 0.5857 0.5857
Os 0.3375 0.3375 0.3375
Os 0.4143 0.4143 0.9235
Os 0.4143 0.9235 0.4143
Os 0.5000 0.5000 0.5000
Os 0.5857 0.0766 0.5857
Os 0.5857 0.5857 0.0766
Os 0.6625 0.6625 0.6625
Os 0.9235 0.4143 0.4143

Symmetry   R-3m
Final energy   -10.4796 eV per atom
Magnetic moment   0.62 Bohr magnetons per cell
Volume   216 Å³/cell



Material: Rb3Pm2TlO6
Method: DFT, PBE
State: optimized geometry

a = 6.2349 Å, b = 6.2349 Å, c = 6.9214 Å
α = 98.61°, β = 98.61°, γ = 119.98°
Fractional coordinates of all 12 atoms:
Rb 0.0000 0.0000 0.0000
Rb 0.3369 0.6631 0.0000
Rb 0.6631 0.3369 0.0000
Pm 0.1669 0.8331 0.5000
Pm 0.8331 0.1669 0.5000
Tl 0.5000 0.5000 0.5000
O 0.1033 0.4385 0.3153
O 0.2259 0.2259 0.6844
O 0.4385 0.1033 0.3153
O 0.5615 0.8967 0.6847
O 0.7741 0.7741 0.3156
O 0.8967 0.5615 0.6847

Symmetry   C2/m
Final energy   -5.7336 eV per atom
Magnetic moment   0.00 Bohr magnetons per cell
Volume   222 Å³/cell



Material: LiSO5
Method: DFT, PBE
State: optimized geometry

a = 5.0992 Å, b = 5.0992 Å, c = 7.1140 Å
α = 112.65°, β = 112.65°, γ = 69.01°
Fractional coordinates of all 14 atoms:
Li 0.0258 0.9742 0.7500
Li 0.9742 0.0258 0.2500
S 0.5000 0.5000 0.0000
S 0.5000 0.5000 0.5000
O 0.2281 0.7464 0.0468
O 0.2536 0.7719 0.4532
O 0.2708 0.3138 0.3994
O 0.3138 0.2708 0.8994
O 0.3924 0.6076 0.7500
O 0.6076 0.3924 0.2500
O 0.6862 0.7292 0.1006
O 0.7292 0.6862 0.6006
O 0.7464 0.2281 0.5468
O 0.7719 0.2536 0.9532

Symmetry   C2/c
Final energy   -4.8946 eV per atom
Magnetic moment   1.98 Bohr magnetons per cell
Volume   153 Å³/cell



- magnetic moment of number 5 (Rb3Pm2TlO6)?
  0.00 Bohr magnetons per cell



- Number 5 is which compound?
  Rb3Pm2TlO6



- Which value of volume does entry 1 give?
  109 Å³/cell